[1]
Compound: Ba2DyOs3O12
Source: Alexandria via LeMat-Bulk
Functional: GGA-PBE
Structure: optimized geometry

Formation energy from raw total energies in eV per atom: -1.762
Total magnetization in μB/f.u.: 0.00
DOS(E_F) in states/eV/cell: 25.9

CIF file:
```
data_Ba2DyOs3O12
_chemical_formula_sum 'Ba6 Dy3 Os9 O36'
_cell_length_a 7.3105
_cell_length_b 7.3105
_cell_length_c 17.7263
_cell_angle_alpha 90.00
_cell_angle_beta 90.00
_cell_angle_gamma 120.00
_symmetry_space_group_name_H-M 'R -3 m'
_symmetry_Int_Tables_number 166
_symmetry_space_group_name_Hall '-R 3 2"'
loop_
_atom_site_label
_atom_site_fract_x
_atom_site_fract_y
_atom_site_fract_z
_atom_site_occupancy
Ba1 0.0000 0.0000 0.1352 1
Dy1 0.0000 0.0000 0.5000 1
Os1 0.0000 0.5000 0.0000 1
O1 0.0054 0.5027 0.1102 1
O2 0.0804 0.5402 0.3342 1
```

[2]
Compound: TcIr2Pt
Source: Alexandria via LeMat-Bulk
Functional: GGA-PBE
Structure: optimized geometry

Total magnetization in μB/f.u.: 0.00
DOS(E_F) in states/eV/cell: 10.1
Energy relative to the elements in eV per atom: -0.05

CIF file:
```
data_TcIr2Pt
_chemical_formula_sum 'Tc2 Ir4 Pt2'
_cell_length_a 9.150
_cell_length_b 2.747
_cell_length_c 4.768
_cell_angle_alpha 90.00
_cell_angle_beta 100.00
_cell_angle_gamma 90.00
_symmetry_space_group_name_H-M 'C 1 m 1'
_symmetry_Int_Tables_number 8
_symmetry_space_group_name_Hall 'C -2y'
loop_
_atom_site_label
_atom_site_fract_x
_atom_site_fract_y
_atom_site_fract_z
_atom_site_occupancy
Tc1 0.000 0.000 0.000 1
Ir1 0.246 0.500 0.238 1
Ir2 0.493 0.000 0.485 1
Pt1 0.248 0.000 0.742 1
```

[3]
Compound: RbPaRuS3
Source: Alexandria via LeMat-Bulk
Functional: GGA-PBE
Structure: optimized geometry

Formation energy from raw total energies in eV per atom: -1.178
Total magnetization in μB/f.u.: 0.23
DOS(E_F) in states/eV/cell: 8.2

CIF file:
```
data_RbPaRuS3
_chemical_formula_sum 'Rb2 Pa2 Ru2 S6'
_cell_length_a 9.155
_cell_length_b 3.894
_cell_length_c 9.481
_cell_angle_alpha 90.00
_cell_angle_beta 111.11
_cell_angle_gamma 90.00
_symmetry_space_group_name_H-M 'P 1 21/m 1'
_symmetry_Int_Tables_number 11
_symmetry_space_group_name_Hall '-P 2yb'
loop_
_atom_site_label
_atom_site_fract_x
_atom_site_fract_y
_atom_site_fract_z
_atom_site_occupancy
Rb1 0.206 0.250 0.243 1
Pa1 0.315 0.750 0.832 1
Ru1 0.086 0.250 0.597 1
S1 0.124 0.250 0.858 1
S2 0.199 0.750 0.535 1
S3 0.460 0.750 0.145 1
```

[4]
Compound: CuBSe2
Source: Alexandria via LeMat-Bulk
Functional: GGA-PBE
Structure: optimized geometry

Formation energy from raw total energies in eV per atom: -0.019
Total magnetization in μB/f.u.: 0.00
DOS(E_F) in states/eV/cell: 0.0

CIF file:
```
data_CuBSe2
_chemical_formula_sum 'Cu2 B2 Se4'
_cell_length_a 3.508
_cell_length_b 6.376
_cell_length_c 7.887
_cell_angle_alpha 89.84
_cell_angle_beta 86.08
_cell_angle_gamma 89.99
_symmetry_space_group_name_H-M 'P 1'
_symmetry_Int_Tables_number 1
_symmetry_space_group_name_Hall 'P 1'
loop_
_atom_site_label
_atom_site_fract_x
_atom_site_fract_y
_atom_site_fract_z
_atom_site_occupancy
Cu1 0.000 0.000 0.000 1
Cu2 0.258 0.501 0.934 1
B1 0.557 0.333 0.737 1
B2 0.701 0.831 0.198 1
Se1 0.077 0.481 0.653 1
Se2 0.180 0.979 0.281 1
Se3 0.542 0.034 0.800 1
Se4 0.716 0.533 0.135 1
```

no.,total energy (eV/atom)
1,-7.4081
2,-8.5848
3,-6.5320
4,-4.4542